The following is a DFT calculation (GGA-PBE) of a relaxed structure of CaSbI2F.

**M_tot**: 0.000 Bohr magnetons per cell
**Polymorph energy (0 for the lowest one)**: 0.000 eV per atom
**Total energy**: -15.23 eV/cell
**DOS at the Fermi energy**: 2.42 states/eV/cell
**Uncorrected formation energy**: -0.8265 eV/atom

a b c (Å): 5.879 5.879 4.362
angles (deg): 90.00 90.00 90.00
Fractional positions:
I: 0.000 0.500 0.000
I: 0.500 0.000 0.000
Sb: 0.000 0.000 0.500
Ca: 0.500 0.500 0.500
F: 0.000 0.000 0.000